Entry 1:
CsPaP | PBE | relaxed

Values from the calculation:
Crystal system: tetragonal
Formation energy from the elements (eV per atom): -0.1719
Final energy (eV/atom): -5.43
DOS at the Fermi energy (states/eV/f.u.): 4.604

abc: 4.993 4.993 7.992
angles: 90.00 90.00 90.02
Positions (direct):
Pa  0.250  0.750  0.000
Cs  0.750  0.250  0.500
Cs  0.250  0.750  0.500
Pa  0.750  0.250  0.000
P  0.250  0.250  0.161
P  0.750  0.750  0.839

---

Entry 2:
CsPaP2Pt2 | PBE | relaxed

Values from the calculation:
Crystal system: trigonal
Formation energy from the elements (eV per atom): -0.8968
Final energy (eV/atom): -6.44
DOS at the Fermi energy (states/eV/f.u.): 2.621

abc: 4.182 4.182 9.419
angles: 90.00 90.00 120.00
Positions (direct):
P  0.333  0.667  0.692
P  0.667  0.333  0.308
Pa  0.000  0.000  0.500
Cs  0.000  0.000  0.000
Pt  0.333  0.667  0.308
Pt  0.667  0.333  0.692

---

Entry 3:
Cs2PaPS6 | PBE | relaxed

Values from the calculation:
Crystal system: trigonal
E_form (uncorrected) (eV per atom): -0.960
Final energy (eV/atom): -5.10
DOS at the Fermi energy (states/eV/f.u.): 0.595

abc: 6.166 7.600 7.600
angles: 120.00 90.00 90.00
Positions (direct):
Pa  0.500  0.000  0.000
S  0.208  0.291  0.146
S  0.208  0.854  0.146
Cs  0.771  0.667  0.333
P  0.000  0.000  0.000
S  0.792  0.709  0.854
S  0.792  0.146  0.291
Cs  0.229  0.333  0.667
S  0.208  0.854  0.709
S  0.792  0.146  0.854

---

Entry 4:
CsPaP2Se8 | PBE | relaxed

Values from the calculation:
Crystal system: trigonal
E_form (uncorrected) (eV per atom): -0.536
Final energy (eV/atom): -4.62

abc: 6.576 6.576 11.231
angles: 72.98 72.98 60.00
Positions (direct):
Se  0.054  0.400  0.850
Pa  0.000  0.000  0.000
Se  0.946  0.600  0.150
Se  0.808  0.808  0.577
Se  0.697  0.054  0.850
P  0.740  0.740  0.779
Se  0.192  0.192  0.423
Cs  0.500  0.500  0.500
Se  0.400  0.697  0.850
Se  0.600  0.303  0.150
P  0.260  0.260  0.221
Se  0.303  0.946  0.150